SrLiSc2 | SCAN | PBEsol geometry

Lattice parameters (Å, degrees): 3.550 3.550 8.938 90.00 90.00 90.00
Space group P4mm (No. 99)
Unique sites:
Sr  0.000  0.000  0.000 (multiplicity 1)
Li  0.500  0.500  0.287 (multiplicity 1)
Sc  0.000  0.000  0.487 (multiplicity 1)
Sc  0.500  0.500  0.696 (multiplicity 1)

Uncorrected energy (eV per cell): -52.39
N(E_F) (states/eV/cell): 4.6
Offset from the most stable computed form (meV/atom): 0
Formation energy (eV per atom): 0.19
V (Å³ per cell): 112.6

---

SrLi2Sc | SCAN | PBEsol geometry

Lattice parameters (Å, degrees): 7.605 7.605 7.605 90.00 90.00 90.00
Space group Fm-3m (No. 225)
Unique sites:
Sr  0.000  0.000  0.000 (multiplicity 4)
Li  0.250  0.250  0.250 (multiplicity 8)
Sc  0.000  0.000  0.500 (multiplicity 4)

Uncorrected energy (eV per cell): -160.86
N(E_F) (states/eV/cell): 18.8
Offset from the most stable computed form (meV/atom): 77
Formation energy (eV per atom): 0.27
V (Å³ per cell): 439.8